VASP calculation (PBE) on a relaxed Cs2CdHBr6 crystal.

Output
total energy = -47.64 eV/cell
Fermi-level density of states = 7.66 states/eV/f.u.
density = 4.22 Mg/m³

The structure in CIF format:
```
data_Cs2CdHBr6
_cell_length_a 7.340
_cell_length_b 7.340
_cell_length_c 12.537
_cell_angle_alpha 90.00
_cell_angle_beta 90.00
_cell_angle_gamma 90.00
_symmetry_space_group_name_H-M 'I 4/m m m'
_symmetry_Int_Tables_number 139
_symmetry_space_group_name_Hall '-I 4 2'
loop_
_atom_site_label
_atom_site_type_symbol
_atom_site_fract_x
_atom_site_fract_y
_atom_site_fract_z
Cs1 Cs 0.000 0.500 0.250
Cd1 Cd 0.000 0.000 0.000
H1 H 0.000 0.000 0.500
Br1 Br 0.000 0.000 0.211
Br2 Br 0.218 0.218 0.500
```